ScIn3Hg6 (GGA-PBE, relaxed); DFT total energy = -34.261 eV/cell; symmetry = R-3c (167); formation enthalpy at 0 K = -0.08 eV per atom
1.0
6.625 3.825 3.342
-6.625 3.825 3.342
0.000 -7.650 3.342
Sc In Hg
2 6 12
Cartesian
0.000 0.000 0.000 Sc
0.000 0.000 5.013 Sc
-1.038 -1.798 2.507 In
-1.038 1.798 2.507 In
2.076 0.000 2.507 In
-2.076 0.000 7.520 In
1.038 -1.798 7.520 In
1.038 1.798 7.520 In
-5.441 1.092 3.978 Hg
-3.667 -4.166 6.049 Hg
-2.958 -0.341 4.378 Hg
1.775 -5.259 3.978 Hg
-1.183 -2.732 5.649 Hg
1.775 -2.391 4.378 Hg
-1.775 2.391 5.649 Hg
1.183 2.732 4.378 Hg
-1.775 5.259 6.049 Hg
2.958 0.341 5.649 Hg
3.667 4.166 3.978 Hg
5.441 -1.092 6.049 Hg

***

Sc2InHg2 (GGA-PBE, relaxed); DFT total energy = -32.189 eV/cell; symmetry = I4/mmm (139); energy relative to the lowest polymorph listed for this composition = 327 meV per atom; formation enthalpy at 0 K = -0.02 eV per atom
1.0
4.101 0.000 0.000
0.000 4.101 0.000
0.000 0.000 15.032
Sc In Hg
4 2 4
Cartesian
0.000 0.000 1.475 Sc
0.000 0.000 13.556 Sc
2.051 2.051 6.041 Sc
2.051 2.051 8.991 Sc
0.000 0.000 7.516 In
2.051 2.051 0.000 In
0.000 2.051 3.758 Hg
0.000 2.051 11.274 Hg
2.051 0.000 3.758 Hg
2.051 0.000 11.274 Hg

***

Sc6In3Hg (GGA-PBE, relaxed); DFT total energy = -100.161 eV/cell; symmetry = P2_1/m (11); formation enthalpy at 0 K = -0.36 eV per atom
1.0
8.717 0.000 0.000
0.000 5.050 0.000
-3.404 0.000 10.377
Sc In Hg
12 6 2
Cartesian
-1.022 1.262 4.328 Sc
0.823 3.787 1.848 Sc
2.231 1.262 0.050 Sc
0.282 3.787 8.283 Sc
2.023 1.262 3.375 Sc
1.485 1.262 6.423 Sc
3.828 3.787 3.953 Sc
3.289 3.787 7.001 Sc
5.031 1.262 2.093 Sc
3.081 3.787 10.327 Sc
4.489 1.262 8.528 Sc
6.334 3.787 6.048 Sc
-2.745 3.787 9.142 In
-1.343 1.262 7.401 In
0.805 3.787 4.937 In
4.507 1.262 5.439 In
6.655 3.787 2.976 In
8.058 1.262 1.234 In
3.595 3.787 1.099 Hg
1.717 1.262 9.277 Hg

***

Sc5In4Hg (GGA-PBE, relaxed); DFT total energy = -47.082 eV/cell; symmetry = P4/mmm (123); formation enthalpy at 0 K = -0.42 eV per atom
1.0
3.528 0.000 0.000
0.000 3.528 0.000
0.000 0.000 18.007
Sc In Hg
5 4 1
Cartesian
0.000 0.000 0.000 Sc
0.000 0.000 3.626 Sc
0.000 0.000 7.270 Sc
0.000 0.000 10.737 Sc
0.000 0.000 14.381 Sc
1.764 1.764 1.814 In
1.764 1.764 5.455 In
1.764 1.764 12.552 In
1.764 1.764 16.193 In
1.764 1.764 9.004 Hg

***

| no. | size of the total moment (μB/atom) |
| --- | --- |
| 1 | 0.0000 |
| 2 | 0.1337 |
| 3 | 0.0985 |
| 4 | 0.0000 |